<i>
A plane-wave DFT calculation with PBE was carried out for an optimized crystal structure of NaTm6Se8.

a b c (Å): 8.0183 8.0183 8.0183
angles (deg): 60.00 60.00 60.00
Positions (direct):
Na (0.0000, 0.0000, 0.0000)
Tm (0.0000, 0.5000, 0.5000)
Tm (0.5000, 0.0000, 0.0000)
Tm (0.5000, 0.5000, 0.0000)
Tm (0.0000, 0.0000, 0.5000)
Tm (0.0000, 0.5000, 0.0000)
Tm (0.5000, 0.0000, 0.5000)
Se (0.7500, 0.7500, 0.7500)
Se (0.2500, 0.2500, 0.2500)
Se (0.7442, 0.2558, 0.2558)
Se (0.2558, 0.7442, 0.7442)
Se (0.2558, 0.2558, 0.7442)
Se (0.7442, 0.7442, 0.2558)
Se (0.7442, 0.2558, 0.7442)
Se (0.2558, 0.7442, 0.2558)

Values from the calculation:
The theoretical density is 7.6 Mg/m³. The symmetry is Fm-3m (225).

<ii>
A plane-wave DFT calculation with PBE was carried out for an optimized crystal structure of NaTm6Se8.

a b c (Å): 4.1174 10.8622 10.8622
angles (deg): 120.00 90.00 90.00
Last column: magnetic moment on the atom in μB.
Positions (direct):
Na (0.5000, 0.0000, 0.0000)  0.04
Tm (0.7502, 0.5183, 0.6567)  0.07
Tm (0.7502, 0.3433, 0.8616)  0.07
Tm (0.7502, 0.1384, 0.4817)  0.07
Tm (0.2498, 0.4817, 0.3433)  0.07
Tm (0.2498, 0.6567, 0.1384)  0.07
Tm (0.2498, 0.8616, 0.5183)  0.07
Se (0.7494, 0.6425, 0.9559)  0.00
Se (0.7494, 0.0441, 0.6866)  0.00
Se (0.7494, 0.3134, 0.3575)  0.00
Se (0.2506, 0.3575, 0.0441)  0.00
Se (0.2506, 0.9559, 0.3134)  0.00
Se (0.2506, 0.6866, 0.6425)  0.00
Se (0.7500, 0.6667, 0.3333)  0.00
Se (0.2500, 0.3333, 0.6667)  0.00

Values from the calculation:
The theoretical density is 6.6 Mg/m³. The symmetry is P-3 (147).

Least stable: <ii>

<i>
A plane-wave DFT calculation with PBE was carried out for an optimized crystal structure of Na4U3Se8.

a b c (Å): 8.3631 8.3631 8.9209
angles (deg): 62.05 62.05 60.00
Last column: magnetic moment on the atom in μB.
Positions (direct):
Na (0.0000, 0.0000, 0.0000)  0.00
Na (0.3600, 0.3600, 0.9199)  0.00
Na (0.5000, 0.5000, 0.5000)  0.00
Na (0.6400, 0.6400, 0.0801)  0.00
U (0.5000, 0.0000, 0.5000)  2.11
U (0.0000, 0.0000, 0.5000)  2.11
U (0.0000, 0.5000, 0.5000)  2.11
Se (0.2347, 0.2347, 0.2960)  -0.06
Se (0.2184, 0.7468, 0.2879)  -0.07
Se (0.7468, 0.7468, 0.2879)  -0.07
Se (0.7468, 0.2184, 0.2879)  -0.07
Se (0.7653, 0.7653, 0.7040)  -0.06
Se (0.7816, 0.2532, 0.7121)  -0.07
Se (0.2532, 0.2532, 0.7121)  -0.07
Se (0.2532, 0.7816, 0.7121)  -0.07

Values from the calculation:
The theoretical density is 5.3 Mg/m³. The symmetry is R-3m (166).

<ii>
A plane-wave DFT calculation with PBE was carried out for an optimized crystal structure of Na4U3Se8.

a b c (Å): 8.2510 8.3388 8.3840
angles (deg): 89.33 121.07 120.83
Last column: magnetic moment on the atom in μB.
Positions (direct):
Na (0.5000, 0.0000, 0.0000)  0.00
Na (0.0000, 0.5000, 0.0000)  0.00
Na (0.0000, 0.0000, 0.0000)  0.00
Na (0.0000, 0.0000, 0.5000)  0.00
U (0.5000, 0.5000, 0.0000)  -2.42
U (0.5000, 0.0000, 0.5000)  2.27
U (0.5000, 0.5000, 0.5000)  1.52
Se (0.5181, 0.2653, 0.2687)  -0.03
Se (0.0023, 0.7492, 0.2531)  -0.01
Se (0.0369, 0.2675, 0.2674)  -0.07
Se (0.5003, 0.7472, 0.2555)  -0.02
Se (0.4997, 0.2528, 0.7445)  -0.02
Se (0.9631, 0.7325, 0.7326)  -0.07
Se (0.9977, 0.2508, 0.7469)  -0.01
Se (0.4819, 0.7347, 0.7313)  -0.03

Values from the calculation:
The theoretical density is 6.0 Mg/m³. The symmetry is P-1 (2).

Least stable: <ii>

<i>
A plane-wave DFT calculation with PBE was carried out for an optimized crystal structure of Na2U2Se5.

a b c (Å): 6.3008 6.3008 8.6017
angles (deg): 106.80 106.80 102.18
Last column: magnetic moment on the atom in μB.
Positions (direct):
Na (0.8065, 0.8065, 0.6130)  0.00
Na (0.1935, 0.1935, 0.3870)  0.00
U (0.7296, 0.2705, 0.0000)  2.07
U (0.2705, 0.7295, 0.0000)  2.07
Se (0.0000, 0.0000, 0.0000)  -0.08
Se (0.3711, 0.8711, 0.7422)  -0.08
Se (0.8711, 0.3711, 0.7422)  -0.08
Se (0.6289, 0.1289, 0.2578)  -0.08
Se (0.1289, 0.6289, 0.2578)  -0.08

Values from the calculation:
The theoretical density is 5.1 Mg/m³. The symmetry is Fmmm (69).

<ii>
A plane-wave DFT calculation with PBE was carried out for an optimized crystal structure of Na2U2Se5.

a b c (Å): 7.8211 7.7841 8.3748
angles (deg): 117.69 90.00 90.00
Last column: magnetic moment on the atom in μB.
Positions (direct):
Na (0.0000, 0.2027, 0.4055)  0.00
Na (0.5000, 0.7027, 0.4055)  0.00
Na (0.0000, 0.7973, 0.5945)  0.00
Na (0.5000, 0.2973, 0.5945)  0.00
U (0.6577, 0.8431, 0.0000)  2.13
U (0.3423, 0.1569, 0.0000)  2.13
U (0.1577, 0.6569, 0.0000)  2.13
U (0.8423, 0.3431, 0.0000)  2.13
Se (0.0000, 0.0000, 0.0000)  -0.10
Se (0.5000, 0.5000, 0.0000)  -0.10
Se (0.8525, 0.7739, 0.2507)  -0.09
Se (0.1475, 0.4768, 0.2507)  -0.09
Se (0.3525, 0.9768, 0.2507)  -0.09
Se (0.6475, 0.2739, 0.2507)  -0.09
Se (0.1475, 0.2261, 0.7493)  -0.09
Se (0.8525, 0.5232, 0.7493)  -0.09
Se (0.6475, 0.0232, 0.7493)  -0.09
Se (0.3525, 0.7261, 0.7493)  -0.09

Values from the calculation:
The theoretical density is 6.7 Mg/m³. The symmetry is Cmce (64).

Least stable: <i>

<i>
A plane-wave DFT calculation with PBE was carried out for an optimized crystal structure of NaV2Se4.

a b c (Å): 14.0360 14.0360 14.0360
angles (deg): 14.84 14.84 14.84
Last column: magnetic moment on the atom in μB.
Positions (direct):
Na (0.9166, 0.9166, 0.9166)  0.00
Se (0.1989, 0.1989, 0.1989)  -0.11
Se (0.7047, 0.7047, 0.7047)  -0.12
Se (0.3013, 0.3013, 0.3013)  -0.11
Se (0.7956, 0.7956, 0.7956)  -0.12
V (0.0046, 0.0046, 0.0046)  1.61
V (0.4957, 0.4957, 0.4957)  1.61

Values from the calculation:
The theoretical density is 4.6 Mg/m³. The symmetry is R3m (160).

<ii>
A plane-wave DFT calculation with PBE was carried out for an optimized crystal structure of NaV2Se4.

a b c (Å): 3.5510 6.1635 7.9111
angles (deg): 68.41 90.00 90.00
Last column: magnetic moment on the atom in μB.
Positions (direct):
Na (0.5000, 0.6628, 0.5076)  0.00
V (0.0000, 0.9689, 0.9963)  1.52
V (0.5000, 0.5326, 0.0031)  1.58
Se (0.0000, 0.5623, 0.2214)  -0.09
Se (0.5000, 0.0848, 0.1803)  -0.09
Se (0.0000, 0.4167, 0.8178)  -0.08
Se (0.5000, 0.9369, 0.7782)  -0.10

Values from the calculation:
The theoretical density is 4.5 Mg/m³. The symmetry is Pm (6).

<iii>
A plane-wave DFT calculation with PBE was carried out for an optimized crystal structure of NaV2Se4.

a b c (Å): 3.5482 6.1744 7.8534
angles (deg): 108.44 103.06 90.00
Last column: magnetic moment on the atom in μB.
Positions (direct):
Na (0.5000, 0.5000, 0.0000)  0.00
V (0.2486, 0.2140, 0.4971)  1.55
V (0.7514, 0.7860, 0.5029)  1.55
Se (0.6378, 0.9932, 0.2756)  -0.09
Se (0.3622, 0.0068, 0.7244)  -0.09
Se (0.1575, 0.5048, 0.3149)  -0.09
Se (0.8425, 0.4952, 0.6851)  -0.09

Values from the calculation:
The theoretical density is 4.6 Mg/m³. The symmetry is C2/m (12).

<iv>
A plane-wave DFT calculation with PBE was carried out for an optimized crystal structure of NaV2Se4.

a b c (Å): 3.6649 6.4250 13.0715
angles (deg): 90.00 90.00 106.57
Last column: magnetic moment on the atom in μB.
Positions (direct):
Na (0.6161, 0.2322, 0.7500)  0.00
Na (0.3839, 0.7678, 0.2500)  0.00
V (0.1305, 0.2611, 0.4274)  1.67
V (0.8695, 0.7389, 0.9274)  1.67
V (0.1305, 0.2611, 0.0726)  1.67
V (0.8695, 0.7389, 0.5726)  1.67
Se (0.7686, 0.5371, 0.1028)  -0.12
Se (0.7686, 0.5371, 0.3972)  -0.12
Se (0.2314, 0.4629, 0.8972)  -0.12
Se (0.2314, 0.4629, 0.6028)  -0.12
Se (0.9249, 0.8497, 0.7500)  -0.19
Se (0.0751, 0.1503, 0.2500)  -0.19
Se (0.5000, 0.0000, 0.0000)  -0.10
Se (0.5000, 0.0000, 0.5000)  -0.10

Values from the calculation:
The theoretical density is 5.0 Mg/m³. The symmetry is Cmcm (63).

Least stable: <iv>

<i>
A plane-wave DFT calculation with PBE was carried out for an optimized crystal structure of Na2V2Se.

a b c (Å): 6.2379 6.2379 5.5245
angles (deg): 90.00 90.00 90.00
Positions (direct):
Na (0.1844, 0.6844, 0.5000)
Na (0.6844, 0.8156, 0.5000)
Na (0.8156, 0.3156, 0.5000)
Na (0.3156, 0.1844, 0.5000)
Se (0.0000, 0.0000, 0.0000)
Se (0.5000, 0.5000, 0.0000)
V (0.3922, 0.8922, 0.0000)
V (0.8922, 0.6078, 0.0000)
V (0.6078, 0.1078, 0.0000)
V (0.1078, 0.3922, 0.0000)

Values from the calculation:
The theoretical density is 3.5 Mg/m³. The symmetry is P4/mbm (127).

<ii>
A plane-wave DFT calculation with PBE was carried out for an optimized crystal structure of Na2V2Se.

a b c (Å): 3.9060 3.9060 7.8350
angles (deg): 75.57 75.57 90.00
Last column: magnetic moment on the atom in μB.
Positions (direct):
Na (0.7500, 0.2500, 0.5000)  0.00
Na (0.2500, 0.7500, 0.5000)  0.00
Se (0.0000, 0.0000, 0.0000)  0.01
V (0.4376, 0.4376, 0.1248)  0.35
V (0.5624, 0.5624, 0.8752)  0.35

Values from the calculation:
The theoretical density is 3.4 Mg/m³. The symmetry is I4/mmm (139).

Least stable: <ii>